Record 1
Entry from Alexandria: a geometry-optimized LuPuCoIr structure (PBE-GGA).

Unit cell a=4.7437 b=4.7437 c=4.7437 alpha=60.00 beta=60.00 gamma=60.00
Fractional coordinates of all 4 atoms:
Co  0.2500  0.2500  0.2500
Ir  0.7500  0.7500  0.7500
Lu  0.0000  0.0000  0.0000
Pu  0.5000  0.5000  0.5000

Summary:
calculated total energy = -36.4 eV per cell
space group = F-43m (216)
spin magnetization = 4.32 μB/f.u.

Record 2
Entry from Alexandria: a geometry-optimized BeCu3 structure (PBE-GGA).

Unit cell a=7.5313 b=7.5313 c=7.5313 alpha=152.95 beta=152.95 gamma=38.63
Fractional coordinates of all 8 atoms:
Be  0.6277  0.6277  0.0000
Be  0.3723  0.3723  0.0000
Cu  0.5000  0.0000  0.5000
Cu  0.0000  0.5000  0.5000
Cu  0.2500  0.7500  0.5000
Cu  0.7500  0.2500  0.5000
Cu  0.8760  0.8760  0.0000
Cu  0.1240  0.1240  0.0000

Summary:
calculated total energy = -32.1 eV per cell
space group = I4/mmm (139)
spin magnetization = 0.00 μB/f.u.